[1]
Y3Er3Tm2Te | PBE-GGA | relaxed

```
Y3Er3Tm2Te
1.0
9.184 0.000 0.000
-4.592 7.954 0.000
0.000 0.000 3.754
Tm Er Y Te
2 3 3 1
direct
0.333 0.667 0.500 Tm
0.667 0.333 0.500 Tm
0.000 0.615 0.000 Er
0.615 0.000 0.000 Er
0.385 0.385 0.000 Er
0.000 0.275 0.500 Y
0.725 0.725 0.500 Y
0.275 0.000 0.500 Y
0.000 0.000 0.000 Te
```

Values from the calculation:
- E_tot: -47.8 eV per cell
- Magnetic moment: 0.2 μB per cell
- Space-group type: P-62m (189)

=====

[2]
Hf2Nb4Ni3N3 | PBE-GGA | relaxed

```
Hf2Nb4Ni3N3
1.0
4.636 -2.672 0.000
4.636 2.672 0.000
-3.089 0.000 13.131
Nb Ni N Hf
8 6 6 4
direct
0.137 0.305 0.412 Nb
0.971 0.804 0.912 Nb
0.196 0.029 0.588 Nb
0.863 0.695 0.588 Nb
0.305 0.137 0.912 Nb
0.695 0.863 0.088 Nb
0.029 0.196 0.088 Nb
0.804 0.971 0.412 Nb
0.932 0.068 0.250 Ni
0.584 0.894 0.750 Ni
0.894 0.584 0.250 Ni
0.416 0.106 0.250 Ni
0.068 0.932 0.750 Ni
0.106 0.416 0.750 Ni
0.000 0.500 0.000 N
0.804 0.348 0.500 N
0.652 0.196 0.000 N
0.500 0.000 0.500 N
0.196 0.652 0.500 N
0.348 0.804 0.000 N
0.378 0.539 0.118 Hf
0.539 0.378 0.618 Hf
0.461 0.622 0.382 Hf
0.622 0.461 0.882 Hf
```

Values from the calculation:
- E_tot: -220.7 eV per cell
- Magnetic moment: 0.1 μB per cell
- Space-group type: C2/c (15)

=====

[3]
HgAuO3 | PBE-GGA | relaxed

```
HgAuO3
1.0
-2.495 4.987 -0.226
2.637 4.169 -2.610
-2.003 1.745 -4.908
O Au Hg
6 2 2
direct
0.250 0.639 0.861 O
0.361 0.139 0.750 O
0.139 0.750 0.361 O
0.750 0.361 0.139 O
0.639 0.861 0.250 O
0.861 0.250 0.639 O
0.000 0.000 0.000 Au
0.500 0.500 0.500 Au
0.750 0.750 0.750 Hg
0.250 0.250 0.250 Hg
```

Values from the calculation:
- E_tot: -35.9 eV per cell
- Space-group type: R-3c (167)

=====

[4]
RbAgAsAu | PBE-GGA | relaxed

```
RbAgAsAu
1.0
-3.256 0.924 3.885
-0.772 4.830 1.621
-4.502 2.334 -0.911
Ag As Rb Au
1 1 1 1
direct
0.000 0.000 0.000 Ag
0.250 0.250 0.250 As
0.500 0.500 0.500 Rb
0.750 0.750 0.750 Au
```

Values from the calculation:
- E_tot: -10.3 eV per cell
- Space-group type: F-43m (216)

=====

[5]
NaSmHgSe3 | PBE-GGA | relaxed

```
NaSmHgSe3
1.0
8.375 0.000 0.000
0.000 4.263 0.000
0.000 0.000 17.519
Na Hg Se Sm
4 4 12 4
direct
0.581 0.250 0.805 Na
0.081 0.250 0.695 Na
0.419 0.750 0.195 Na
0.919 0.750 0.305 Na
0.952 0.750 0.834 Hg
0.048 0.250 0.166 Hg
0.548 0.250 0.334 Hg
0.452 0.750 0.666 Hg
0.489 0.750 0.427 Se
0.625 0.750 0.935 Se
0.125 0.750 0.565 Se
0.011 0.250 0.927 Se
0.787 0.750 0.708 Se
0.213 0.250 0.292 Se
0.375 0.250 0.065 Se
0.875 0.250 0.435 Se
0.713 0.250 0.208 Se
0.989 0.750 0.073 Se
0.287 0.750 0.792 Se
0.511 0.250 0.573 Se
0.779 0.750 0.538 Sm
0.721 0.250 0.038 Sm
0.221 0.250 0.462 Sm
0.279 0.750 0.962 Sm
```

Values from the calculation:
- E_tot: -92.9 eV per cell
- Magnetic moment: 0.0 μB per cell
- Space-group type: Pnma (62)

=====

[6]
PrNd2In3Fe3 | PBE-GGA | relaxed

```
PrNd2In3Fe3
1.0
-0.801 -3.408 -2.037
5.975 -3.324 3.212
-6.780 -0.383 3.308
Nd In Fe Pr
2 3 3 1
direct
0.000 0.000 0.408 Nd
0.000 0.408 0.000 Nd
0.500 0.752 0.000 In
0.500 0.000 0.752 In
0.500 0.247 0.247 In
0.500 0.333 0.667 Fe
0.500 0.667 0.333 Fe
0.000 0.000 0.000 Fe
0.000 0.591 0.591 Pr
```

Values from the calculation:
- E_tot: -47.6 eV per cell
- Magnetic moment: 3.4 μB per cell
- Space-group type: Amm2 (38)